First-principles (GGA-PBE) data for Ca2ReIr after structural relaxation, as listed in Alexandria.

Results
* crystal system: tetragonal
* calculated volume: 78 Å³ per cell
* DFT formation energy: 0.5827 eV/atom
* density: 9806 kg/m3
* polymorph energy (0 for the lowest one): 401 meV per atom
* density of states at the Fermi level: 5.395 states/eV per cell

Cell and atoms, written as POSCAR:
```
Ca2ReIr
1.0
-4.047 2.244 0.693
0.017 -1.175 3.901
2.045 3.376 1.008
Ir Re Ca
1 1 2
Direct
0.500 0.500 0.000 Ir
0.500 0.000 0.500 Re
0.000 0.000 0.000 Ca
0.000 0.500 0.500 Ca
```

=====

First-principles (GGA-PBE) data for Ca2ReIr after structural relaxation, as listed in Alexandria.

Results
* crystal system: tetragonal
* calculated volume: 91 Å³ per cell
* DFT formation energy: 0.1812 eV/atom
* density: 8382 kg/m3
* polymorph energy (0 for the lowest one): 0 meV per atom
* density of states at the Fermi level: 1.898 states/eV per cell

Cell and atoms, written as POSCAR:
```
Ca2ReIr
1.0
-1.739 -0.867 2.439
-1.613 -1.935 -1.838
6.065 -6.850 1.891
Ca Ir Re
2 1 1
Direct
0.000 0.000 0.938 Ca
0.500 0.500 0.317 Ca
0.000 0.000 0.547 Ir
0.500 0.500 0.698 Re
```

=====

What did the second record say?
First-principles (GGA-PBE) data for Ca2ReIr after structural relaxation, as listed in Alexandria.

Results
* crystal system: tetragonal
* calculated volume: 91 Å³ per cell
* DFT formation energy: 0.1812 eV/atom
* density: 8382 kg/m3
* polymorph energy (0 for the lowest one): 0 meV per atom
* density of states at the Fermi level: 1.898 states/eV per cell

Cell and atoms, written as POSCAR:
```
Ca2ReIr
1.0
-1.739 -0.867 2.439
-1.613 -1.935 -1.838
6.065 -6.850 1.891
Ca Ir Re
2 1 1
Direct
0.000 0.000 0.938 Ca
0.500 0.500 0.317 Ca
0.000 0.000 0.547 Ir
0.500 0.500 0.698 Re
```

=====

What did the first record say?
First-principles (GGA-PBE) data for Ca2ReIr after structural relaxation, as listed in Alexandria.

Results
* crystal system: tetragonal
* calculated volume: 78 Å³ per cell
* DFT formation energy: 0.5827 eV/atom
* density: 9806 kg/m3
* polymorph energy (0 for the lowest one): 401 meV per atom
* density of states at the Fermi level: 5.395 states/eV per cell

Cell and atoms, written as POSCAR:
```
Ca2ReIr
1.0
-4.047 2.244 0.693
0.017 -1.175 3.901
2.045 3.376 1.008
Ir Re Ca
1 1 2
Direct
0.500 0.500 0.000 Ir
0.500 0.000 0.500 Re
0.000 0.000 0.000 Ca
0.000 0.500 0.500 Ca
```

=====

What is the formula in the first record?
Ca2ReIr